[1]
Density functional theory data (PBE-GGA) for HfUAg after structural relaxation.

Results
SG   F-43m (216)
Energy relative to the lowest polymorph listed for this composition   0.0 meV per atom

The structure in CIF format:
```
data_HfUAg
_chemical_formula_sum 'Hf1 U1 Ag1'
_space_group_name_H-M_alt 'P 1'
_space_group_IT_number 1
_space_group_name_Hall 'P 1'
_cell_length_a 4.710
_cell_length_b 4.710
_cell_length_c 4.710
_cell_angle_alpha 60.00
_cell_angle_beta 60.00
_cell_angle_gamma 60.00
loop_
_atom_site_label
_atom_site_type_symbol
_atom_site_fract_x
_atom_site_fract_y
_atom_site_fract_z
_atom_site_occupancy
Ag1 Ag 0.000 0.000 0.000 1
Hf1 Hf 0.250 0.250 0.250 1
U1 U 0.750 0.750 0.750 1
```

***

[2]
Density functional theory data (PBE-GGA) for HoTmNi2 after structural relaxation.

Results
SG   Pmn2_1 (31)

The structure in CIF format:
```
data_HoTmNi2
_chemical_formula_sum 'Ho2 Tm2 Ni4'
_space_group_name_H-M_alt 'P 1'
_space_group_IT_number 1
_space_group_name_Hall 'P 1'
_cell_length_a 4.143
_cell_length_b 6.994
_cell_length_c 5.376
_cell_angle_alpha 90.00
_cell_angle_beta 90.00
_cell_angle_gamma 90.00
loop_
_atom_site_label
_atom_site_type_symbol
_atom_site_fract_x
_atom_site_fract_y
_atom_site_fract_z
_atom_site_occupancy
Ho1 Ho 0.500 0.930 0.370 1
Ho2 Ho 0.000 0.070 0.870 1
Ni1 Ni 0.000 0.712 0.125 1
Ni2 Ni 0.000 0.212 0.375 1
Ni3 Ni 0.500 0.288 0.625 1
Ni4 Ni 0.500 0.788 0.875 1
Tm1 Tm 0.500 0.430 0.130 1
Tm2 Tm 0.000 0.570 0.630 1
```

***

Calculated formation energy (eV/atom), listed in the same order as above: 0.954, -0.492
Calculated total magnetization (μB/cell), listed in the same order as above: 3.5, 0.0